Density functional theory data (PBE) for a geometry-optimized BeCu2Os structure.

## Properties
Crystal system: monoclinic
Calculated total energy in eV per atom: -5.604
Mass density in g/cm3: 11.49
Formation energy in meV/atom: 184

Cell lengths 2.5631, 4.0391, 4.6802 Å; angles 90.00, 103.33, 90.00 degrees
Closest atoms and distances in Å follow each position.
Fractional coordinates of all 4 atoms:
Be  0.0000  0.0000  0.0000  4 Cu 2.37, 2 Os 2.39, 2 Be 2.56
Cu  0.1527  0.5000  0.7650  2 Be 2.37, 5 Cu 2.42-2.56, 2 Os 2.63
Cu  0.8473  0.5000  0.2350  2 Be 2.37, 5 Cu 2.42-2.56, 2 Os 2.63
Os  0.5000  0.0000  0.5000  2 Be 2.39, 2 Os 2.56, 4 Cu 2.63

---

Density functional theory data (PBE) for a geometry-optimized Er2TeAs structure.

## Properties
Crystal system: trigonal
Calculated total energy in eV per atom: -5.653
Mass density in g/cm3: 8.43
Formation energy (no corrections) in eV per formula unit: -5.69
E above lowest polymorph in kcal/mol of atoms: 0.69

Cell lengths 7.6183, 7.6183, 7.6183 Å; angles 31.27, 31.27, 31.27 degrees
Closest atoms and distances in Å follow each position.
Fractional coordinates of all 4 atoms:
Er  0.0000  0.0000  0.0000  3 As 2.81, 3 Te 3.13
Er  0.1897  0.1897  0.1897  3 As 2.86, 3 Te 3.15
Te  0.4276  0.4276  0.4276  6 Er 3.13-3.15
As  0.5970  0.5970  0.5970  6 Er 2.81-2.86

---

Density functional theory data (PBE) for a geometry-optimized ZrCoRu2 structure.

## Properties
Crystal system: tetragonal
Calculated total energy in eV per atom: -8.625
Mass density in g/cm3: 9.84
E above lowest polymorph in kcal/mol of atoms: 1.40
Formation energy in meV/atom: -73

Cell lengths 4.7598, 4.7598, 4.7598 Å; angles 131.37, 131.37, 71.22 degrees
Closest atoms and distances in Å follow each position.
Fractional coordinates of all 4 atoms:
Zr  0.0000  0.0000  0.0000  4 Co 2.75, 8 Ru 2.75-2.77
Co  0.2500  0.7500  0.5000  8 Ru 2.75-2.77, 4 Zr 2.75
Ru  0.5000  0.5000  0.0000  4 Co 2.75, 4 Ru 2.75, 4 Zr 2.77
Ru  0.7500  0.2500  0.5000  4 Ru 2.75, 4 Zr 2.75, 4 Co 2.77

---

| no. | DOS(E_F) (states/eV per cell) |
| --- | --- |
| 1 | 1.9 |
| 2 | 2.5 |
| 3 | 5.5 |